Entry from Alexandria: an optimized crystal structure of Nd2CoTe2S2O14 (GGA+U).

POSCAR file:
```
Nd2CoTe2S2O14
1.0
5.456 0.000 0.000
0.365 8.058 0.000
2.506 3.431 7.145
Nd Co Te S O
2 1 2 2 14
Direct
0.097 0.251 0.018
0.903 0.749 0.982
0.000 0.000 0.500
0.474 0.739 0.652
0.526 0.261 0.348
0.211 0.754 0.251
0.789 0.246 0.749
0.045 0.603 0.269
0.130 0.785 0.422
0.181 0.922 0.084
0.248 0.573 0.889
0.251 0.929 0.661
0.282 0.190 0.262
0.485 0.713 0.215
0.515 0.287 0.785
0.718 0.810 0.738
0.749 0.071 0.339
0.752 0.427 0.111
0.819 0.078 0.916
0.870 0.215 0.578
0.955 0.397 0.731
```

The total moment is 3.030 μB/cell. The calculation puts the total energy at -6.56 eV/atom. The density of states at the Fermi level is 0.0 states/eV/cell.